A plane-wave DFT calculation with PBE-GGA was carried out for crystalline UPdAu at its relaxed geometry.

The crystal system is orthorhombic. Its formation energy is -0.3049 eV/atom.

The space group is Pnma (No. 62) and the conventional cell measures 5.934, 4.791 and 8.321 Å, with angles of 90.00, 90.00 and 90.00 degrees. Symmetry generates all atoms from U at (0.005, 0.250, 0.234), Pd at (0.245, 0.250, 0.916) and Au at (0.234, 0.250, 0.583).

A plane-wave DFT calculation with PBE-GGA was carried out for crystalline Dy2SiSe at its relaxed geometry.

Its formation energy without anion corrections is -5.25 eV per formula unit. The crystal system is monoclinic.

The space group is C2/c (No. 15) and the conventional cell measures 8.240, 16.376 and 7.108 Å, with angles of 90.00, 124.87 and 90.00 degrees. Symmetry generates all atoms from Dy at (0.236, 0.063, 0.241), Dy at (0.246, 0.188, 0.742), Si at (0.000, 0.065, 0.750), Si at (0.000, 0.190, 0.250), Se at (0.000, 0.315, 0.750) and Se at (0.000, 0.440, 0.250).

A plane-wave DFT calculation with PBE-GGA was carried out for crystalline OsBr2F at its relaxed geometry.

Its formation energy without anion corrections is 1.52 eV per formula unit. The crystal system is cubic.

The space group is Fm-3m (No. 225) and the conventional cell measures 6.284, 6.284 and 6.284 Å, with angles of 90.00, 90.00 and 90.00 degrees. Symmetry generates all atoms from Os at (0.000, 0.000, 0.000), Br at (0.250, 0.250, 0.250) and F at (0.000, 0.000, 0.500).